(1)
The following is a DFT calculation (GGA-PBE) of a relaxed Pu4Ga16Rh3 crystal.

The structure in POSCAR format:
```
Pu4Ga16Rh3
1.0
6.1482 0.0000 0.0000
0.0000 6.1482 0.0000
0.0000 0.0000 11.2189
Pu Ga Rh
4 16 3
Direct
0.5000 0.0000 0.8110
0.0000 0.5000 0.1890
0.0000 0.5000 0.8110
0.5000 0.0000 0.1890
0.0000 0.0000 0.7763
0.2861 0.2861 0.0000
0.5000 0.5000 0.7980
0.7139 0.2861 0.0000
0.5000 0.5000 0.2020
0.7139 0.7139 0.0000
0.0000 0.0000 0.2237
0.7475 0.7475 0.6223
0.7475 0.2525 0.3777
0.2525 0.2525 0.6223
0.2525 0.7475 0.3777
0.2861 0.7139 0.0000
0.7475 0.7475 0.3777
0.7475 0.2525 0.6223
0.2525 0.2525 0.3777
0.2525 0.7475 0.6223
0.0000 0.5000 0.5000
0.0000 0.0000 0.0000
0.5000 0.0000 0.5000
```

Results
* space-group type: No. 123
* DFT total energy: -139.93 eV for the cell shown
* total moment: 0.908 μB per atom
* calculated formation energy: -0.527 eV/atom


(2)
The following is a DFT calculation (GGA-PBE) of a relaxed PrZn8Pd2 crystal.

The structure in POSCAR format:
```
PrZn8Pd2
1.0
6.5147 0.0000 0.0000
0.0000 6.5147 0.0000
0.0000 0.0000 5.1048
Pr Zn Pd
1 8 2
Direct
0.5000 0.5000 0.5000
0.7978 0.7978 0.2495
0.7978 0.2022 0.7505
0.7978 0.7978 0.7505
0.7978 0.2022 0.2495
0.2022 0.7978 0.2495
0.2022 0.7978 0.7505
0.2022 0.2022 0.2495
0.2022 0.2022 0.7505
0.5000 0.0000 0.0000
0.0000 0.5000 0.0000
```

Results
* space-group type: No. 123
* DFT total energy: -26.07 eV for the cell shown
* total moment: 0.000 μB per atom
* calculated formation energy: -0.065 eV/atom